(1)
DFT (GGA-PBE) results for crystalline EuTmTh2 at its relaxed geometry.

Output
Total energy   -29.0 eV per cell
Energy above the lowest structure with this stoichiometry   0.000 eV per atom
Energy of formation from the pure elements   0.15 eV per atom
Crystal system   tetragonal
Symmetry   P4/mmm (123)

Cell and atoms, written as POSCAR:
```
EuTmTh2
1.0
5.078 0.000 0.000
0.000 5.066 0.000
0.000 0.000 5.066
Eu Th Tm
1 2 1
direct
0.500 0.000 0.000
0.000 0.000 0.500
0.000 0.500 0.000
0.500 0.500 0.500
```



(2)
DFT (GGA-PBE) results for crystalline ErSi3Ni10 at its relaxed geometry.

Output
Total energy   -167.8 eV per cell
Uncorrected formation energy   -506 kJ/mol of formula units
Crystal system   cubic
Symmetry   Fm-3m (225)

Cell and atoms, written as POSCAR:
```
ErSi3Ni10
1.0
6.932 0.000 4.002
2.311 6.536 4.002
0.000 0.000 8.004
Er Si Ni
2 6 20
direct
0.750 0.750 0.750
0.250 0.250 0.250
0.736 0.736 0.264
0.264 0.264 0.736
0.736 0.264 0.736
0.736 0.264 0.264
0.264 0.736 0.736
0.264 0.736 0.264
0.385 0.385 0.385
0.000 0.352 0.000
0.385 0.385 0.845
0.000 0.648 0.352
0.155 0.615 0.615
0.648 0.000 0.352
0.352 0.648 0.000
0.352 0.000 0.000
0.615 0.615 0.155
0.648 0.000 0.000
0.352 0.000 0.648
0.000 0.000 0.648
0.385 0.845 0.385
0.615 0.155 0.615
0.615 0.615 0.615
0.648 0.352 0.000
0.845 0.385 0.385
0.000 0.352 0.648
0.000 0.648 0.000
0.000 0.000 0.352
```



(3)
DFT (GGA-PBE) results for crystalline HfTi4In3 at its relaxed geometry.

Output
Total energy   -48.4 eV per cell
Energy above the lowest structure with this stoichiometry   0.287 eV per atom
Energy of formation from the pure elements   0.16 eV per atom
Crystal system   orthorhombic
Symmetry   Immm (71)

Cell and atoms, written as POSCAR:
```
HfTi4In3
1.0
-2.168 1.264 1.671
-5.283 -4.081 -3.765
4.360 -3.830 5.831
In Ti Hf
3 4 1
direct
0.000 0.500 0.000
0.188 0.188 0.376
0.812 0.812 0.624
0.641 0.451 0.282
0.359 0.169 0.718
0.641 0.831 0.282
0.359 0.549 0.718
0.500 0.000 0.000
```



(4)
DFT (GGA-PBE) results for crystalline CdIrPt2 at its relaxed geometry.

Output
Total energy   -21.9 eV per cell
Energy of formation from the pure elements   -0.02 eV per atom
Crystal system   monoclinic
Symmetry   Cm (8)

Cell and atoms, written as POSCAR:
```
CdIrPt2
1.0
-1.684 -4.436 -1.350
1.105 -4.706 -0.985
-0.772 -1.949 4.461
Pt Cd Ir
2 1 1
direct
0.251 0.251 0.252
0.003 0.003 0.984
0.498 0.498 0.491
0.747 0.747 0.773
```